VASP calculation (PBE-GGA) on a geometry-optimized K3Na5Pb2 structure.

Cell lengths 6.6906, 11.5846, 11.5846 Å; angles 94.28, 73.22, 73.22 degrees
Closest atoms and distances in Å follow each position.
Fractional positions:
Na1 0.4933 0.2567 0.2567  2 Pb 3.23, 5 Na 3.35-3.47
Na2 0.5067 0.7433 0.7433  2 Pb 3.23, 5 Na 3.35-3.47
Na3 0.9933 0.2567 0.2567  2 Pb 3.23, 5 Na 3.35-3.47
Na4 0.7500 0.5000 0.5000  4 Na 3.35-3.47
Na5 0.7004 0.1298 0.4694  1 Pb 3.14, 2 Na 3.39, 1 K 3.43
Na6 0.2996 0.8702 0.5306  1 Pb 3.14, 2 Na 3.39, 1 K 3.43
Na7 0.7996 0.5306 0.8702  1 Pb 3.14, 2 Na 3.39, 1 K 3.43
Na8 0.2004 0.4694 0.1298  1 Pb 3.14, 2 Na 3.39, 1 K 3.43
Na9 0.2500 0.5000 0.5000  4 Na 3.35-3.47
Na10 0.0067 0.7433 0.7433  2 Pb 3.23, 5 Na 3.35-3.47
Pb1 0.8267 0.3202 0.0264  3 Na 3.14-3.23
Pb2 0.6733 0.9736 0.6798  3 Na 3.14-3.23
Pb3 0.1733 0.6798 0.9736  3 Na 3.14-3.23
Pb4 0.3267 0.0264 0.3202  3 Na 3.14-3.23
K1 0.0792 0.1713 0.6702  1 Na 3.43
K2 0.9208 0.8287 0.3298  1 Na 3.43
K3 0.7500 0.0000 0.0000  2 K 3.35, 2 Na 3.66
K4 0.4208 0.3298 0.8287  1 Na 3.43
K5 0.5792 0.6702 0.1713  1 Na 3.43
K6 0.2500 0.0000 0.0000  2 K 3.35, 2 Na 3.66

- ΔE to the lowest computed polymorph: 70.5 meV/atom
- Magnetization: 0.01 μB per cell
- Calculated formation energy: -0.011 eV per atom



VASP calculation (PBE-GGA) on a geometry-optimized Tm4Tl2Au structure.

Cell lengths 3.6235, 8.6755, 7.7898 Å; angles 114.65, 90.00, 90.00 degrees
Closest atoms and distances in Å follow each position.
Fractional positions:
Au1 0.0000 0.0714 0.0715  6 Tm 2.81-2.83
Tm1 0.0000 0.7199 0.9677  1 Au 2.81, 2 Tl 3.14
Tm2 0.5000 0.0361 0.7782  2 Au 2.83, 2 Tl 3.11-3.17
Tm3 0.0000 0.4229 0.1752  1 Au 2.81, 2 Tl 3.14
Tm4 0.5000 0.1067 0.3648  2 Au 2.83, 2 Tl 3.11-3.17
Tl1 0.5000 0.7451 0.3735  4 Tm 3.11-3.17
Tl2 0.5000 0.3976 0.7694  4 Tm 3.11-3.17

- Magnetization: 0.00 μB per cell
- Calculated formation energy: -0.097 eV per atom



Among the records above, which one has the lowest magnetization? Tm4Tl2Au